# SnSbTe2I PBE-GGA relaxed
# Raw formation energy in eV per atom: 0.3127
# Size of the total moment in μB/f.u.: 0.00
data_SnSbTe2I
_cell_length_a 5.8245
_cell_length_b 5.8245
_cell_length_c 5.7858
_cell_angle_alpha 90.00
_cell_angle_beta 90.00
_cell_angle_gamma 90.00
_space_group_name_H-M_alt 'P 4/m m m'
_space_group_IT_number 123
_space_group_name_Hall '-P 4 2'
loop_
_atom_site_label
_atom_site_type_symbol
_atom_site_fract_x
_atom_site_fract_y
_atom_site_fract_z
_atom_site_occupancy
Sn1 Sn 0.0000 0.0000 0.0000 1
Sb1 Sb 0.5000 0.5000 0.5000 1
Te1 Te 0.0000 0.5000 0.5000 1
I1 I 0.5000 0.5000 0.0000 1